Entry 1:
LiCoCl2: optimized geometry, PBE.

* raw formation energy: 126 meV/atom
* E: -3.0527 eV per atom
* crystal system: cubic
* energy above the most stable polymorph in this dataset: 921 meV/atom

Cell lengths 4.7250, 4.7250, 4.7250 Å; angles 60.00, 60.00, 60.00 degrees
Fractional positions:
Li 0.0000 0.0000 0.0000
Co 0.2500 0.2500 0.2500
Cl 0.5000 0.5000 0.5000
Cl 0.7500 0.7500 0.7500


Entry 2:
LiCo2Cl: optimized geometry, PBE.

* raw formation energy: 477 meV/atom
* E: -4.0158 eV per atom
* crystal system: orthorhombic
* energy above the most stable polymorph in this dataset: 643 meV/atom

Cell lengths 5.0533, 5.0533, 2.7569 Å; angles 90.00, 90.00, 124.77 degrees
Fractional positions:
Li 0.0000 0.0000 0.0000
Co 0.0000 0.5000 0.5000
Co 0.5000 0.0000 0.5000
Cl 0.5000 0.5000 0.0000


Entry 3:
LiCo3Cl9: optimized geometry, PBE.

* raw formation energy: -698 meV/atom
* E: -3.7636 eV per atom
* crystal system: monoclinic

Cell lengths 10.4688, 10.4688, 13.6020 Å; angles 128.97, 128.97, 48.55 degrees
Fractional positions:
Li 0.2502 0.7498 0.5000
Li 0.7498 0.2502 0.0000
Co 0.1619 0.2333 0.5997
Co 0.2333 0.1619 0.0997
Co 0.3214 0.5128 0.1496
Co 0.5128 0.3214 0.6496
Co 0.7005 0.9474 0.3600
Co 0.9474 0.7005 0.8600
Cl 0.0444 0.2510 0.1751
Cl 0.1188 0.7580 0.0849
Cl 0.1349 0.3900 0.0490
Cl 0.1705 0.4976 0.7731
Cl 0.2510 0.0444 0.6751
Cl 0.2818 0.9144 0.9325
Cl 0.3117 0.5412 0.5704
Cl 0.3900 0.1349 0.5490
Cl 0.4184 0.6256 0.3711
Cl 0.4976 0.1705 0.2731
Cl 0.5412 0.3117 0.0704
Cl 0.5977 0.7735 0.2891
Cl 0.6256 0.4184 0.8711
Cl 0.7580 0.1188 0.5849
Cl 0.7735 0.5977 0.7891
Cl 0.8043 0.9478 0.8240
Cl 0.9144 0.2818 0.4325
Cl 0.9478 0.8043 0.3240


Entry 4:
LiCoCl2: optimized geometry, PBE.

* raw formation energy: -651 meV/atom
* E: -3.8292 eV per atom
* crystal system: orthorhombic
* energy above the most stable polymorph in this dataset: 144 meV/atom

Cell lengths 5.2078, 5.2078, 5.2078 Å; angles 140.95, 99.74, 93.11 degrees
Fractional positions:
Li 0.0000 0.0000 0.0000
Co 0.5000 0.0000 0.5000
Cl 0.2637 0.5000 0.7637
Cl 0.7363 0.5000 0.2363


Entry 5:
Li2CoCl4: optimized geometry, PBE.

* raw formation energy: -1244 meV/atom
* E: -3.8609 eV per atom
* crystal system: tetragonal
* energy above the most stable polymorph in this dataset: 28 meV/atom

Cell lengths 6.6057, 6.6057, 6.6057 Å; angles 125.00, 125.00, 81.53 degrees
Fractional positions:
Li 0.0000 0.5000 0.5000
Li 0.5000 0.0000 0.5000
Co 0.0000 0.0000 0.0000
Cl 0.1176 0.6605 0.0000
Cl 0.3395 0.3395 0.4571
Cl 0.6605 0.1176 0.0000
Cl 0.8824 0.8824 0.5429


Entry 6:
LiCo2Cl: optimized geometry, PBE.

* raw formation energy: 380 meV/atom
* E: -4.1132 eV per atom
* crystal system: tetragonal
* energy above the most stable polymorph in this dataset: 546 meV/atom

Cell lengths 3.1923, 3.1923, 5.3872 Å; angles 90.00, 90.00, 90.00 degrees
Fractional positions:
Li 0.0000 0.0000 0.0000
Co 0.5000 0.5000 0.2050
Co 0.5000 0.5000 0.7950
Cl 0.0000 0.0000 0.5000


Entry 7:
LiCo3Cl: optimized geometry, PBE.

* raw formation energy: 1278 meV/atom
* E: -3.7374 eV per atom
* crystal system: cubic
* energy above the most stable polymorph in this dataset: 626 meV/atom

Cell lengths 4.1630, 4.1630, 4.1630 Å; angles 90.00, 90.00, 90.00 degrees
Fractional positions:
Li 0.0000 0.0000 0.0000
Co 0.0000 0.0000 0.5000
Co 0.0000 0.5000 0.0000
Co 0.5000 0.0000 0.0000
Cl 0.5000 0.5000 0.5000


Entry 8:
Li2CoCl6: optimized geometry, PBE.

* raw formation energy: -954 meV/atom
* E: -3.3998 eV per atom
* crystal system: tetragonal

Cell lengths 5.8326, 5.8326, 10.8484 Å; angles 90.00, 90.00, 90.00 degrees
Fractional positions:
Li 0.0000 0.0000 0.1698
Li 0.0000 0.0000 0.8302
Li 0.5000 0.5000 0.3302
Li 0.5000 0.5000 0.6698
Co 0.0000 0.0000 0.5000
Co 0.5000 0.5000 0.0000
Cl 0.1870 0.1870 0.3485
Cl 0.1870 0.1870 0.6515
Cl 0.2273 0.2273 0.0000
Cl 0.2727 0.7273 0.5000
Cl 0.3130 0.6870 0.1515
Cl 0.3130 0.6870 0.8485
Cl 0.6870 0.3130 0.1515
Cl 0.6870 0.3130 0.8485
Cl 0.7273 0.2727 0.5000
Cl 0.7727 0.7727 0.0000
Cl 0.8130 0.8130 0.3485
Cl 0.8130 0.8130 0.6515


Entry 9:
LiCoCl2: optimized geometry, PBE.

* raw formation energy: -435 meV/atom
* E: -3.6131 eV per atom
* crystal system: cubic
* energy above the most stable polymorph in this dataset: 361 meV/atom

Cell lengths 4.4820, 4.4820, 4.4820 Å; angles 60.00, 60.00, 60.00 degrees
Fractional positions:
Li 0.0000 0.0000 0.0000
Co 0.5000 0.5000 0.5000
Cl 0.2500 0.2500 0.2500
Cl 0.7500 0.7500 0.7500


Entry 10:
LiCo2Cl: optimized geometry, PBE.

* raw formation energy: 628 meV/atom
* E: -3.8647 eV per atom
* crystal system: cubic
* energy above the most stable polymorph in this dataset: 794 meV/atom

Cell lengths 4.0996, 4.0996, 4.0996 Å; angles 60.00, 60.00, 60.00 degrees
Fractional positions:
Li 0.0000 0.0000 0.0000
Co 0.2500 0.2500 0.2500
Co 0.7500 0.7500 0.7500
Cl 0.5000 0.5000 0.5000


Entry 11:
LiCo2Cl: optimized geometry, PBE.

* raw formation energy: -156 meV/atom
* E: -4.6492 eV per atom
* crystal system: tetragonal
* energy above the most stable polymorph in this dataset: 10 meV/atom

Cell lengths 3.0954, 3.0954, 6.9139 Å; angles 90.00, 90.00, 90.00 degrees
Fractional positions:
Li 0.0000 0.0000 0.0000
Co 0.0000 0.0000 0.6054
Co 0.5000 0.5000 0.7427
Cl 0.5000 0.5000 0.1007


Entry 12:
Li2CoCl4: optimized geometry, PBE.

* raw formation energy: -1254 meV/atom
* E: -3.8715 eV per atom
* crystal system: orthorhombic
* energy above the most stable polymorph in this dataset: 17 meV/atom

Cell lengths 6.3168, 6.3168, 3.6143 Å; angles 90.00, 90.00, 109.28 degrees
Fractional positions:
Li 0.0000 0.5000 0.0000
Li 0.5000 0.0000 0.0000
Co 0.0000 0.0000 0.5000
Cl 0.2264 0.2264 0.0000
Cl 0.2377 0.7623 0.5000
Cl 0.7623 0.2377 0.5000
Cl 0.7736 0.7736 0.0000


Entry 13:
LiCoCl2: optimized geometry, PBE.

* raw formation energy: -633 meV/atom
* E: -3.8113 eV per atom
* crystal system: orthorhombic
* energy above the most stable polymorph in this dataset: 162 meV/atom

Cell lengths 3.3716, 3.3882, 7.9203 Å; angles 90.00, 90.00, 90.00 degrees
Fractional positions:
Li 0.0000 0.0000 0.0000
Co 0.0000 0.5000 0.5000
Cl 0.5000 0.0000 0.5000
Cl 0.5000 0.5000 0.0000


Entry 14:
LiCo2Cl: optimized geometry, PBE.

* raw formation energy: 12 meV/atom
* E: -4.4807 eV per atom
* crystal system: tetragonal
* energy above the most stable polymorph in this dataset: 178 meV/atom

Cell lengths 7.7525, 7.7525, 7.7525 Å; angles 155.67, 155.67, 34.68 degrees
Fractional positions:
Li 0.0000 0.0000 0.0000
Co 0.2500 0.7500 0.5000
Co 0.7500 0.2500 0.5000
Cl 0.5000 0.5000 0.0000


Entry 15:
LiCoCl2: optimized geometry, PBE.

* raw formation energy: -795 meV/atom
* E: -3.9736 eV per atom
* crystal system: tetragonal
* energy above the most stable polymorph in this dataset: 0 meV/atom

Cell lengths 6.6097, 6.6097, 6.6097 Å; angles 131.66, 131.66, 70.77 degrees
Fractional positions:
Li 0.0000 0.0000 0.0000
Li 0.7500 0.2500 0.5000
Co 0.2500 0.7500 0.5000
Co 0.5000 0.5000 0.0000
Cl 0.1361 0.6250 0.0111
Cl 0.3750 0.3861 0.5111
Cl 0.6139 0.1250 0.9889
Cl 0.8750 0.8639 0.4889


Entry 16:
LiCoCl4: optimized geometry, PBE.

* raw formation energy: -874 meV/atom
* E: -3.6083 eV per atom
* crystal system: tetragonal

Cell lengths 6.0440, 6.0440, 6.0440 Å; angles 114.47, 114.47, 99.88 degrees
Fractional positions:
Li 0.0000 0.0000 0.0000
Co 0.7500 0.2500 0.5000
Cl 0.0367 0.1010 0.4507
Cl 0.4140 0.9633 0.0643
Cl 0.6503 0.5860 0.5493
Cl 0.8990 0.3497 0.9357


Entry 17:
Li2MnCoCl6: optimized geometry, PBE.

* raw formation energy: -1163 meV/atom
* E: -4.2810 eV per atom
* crystal system: trigonal

Cell lengths 6.7993, 6.7993, 6.7993 Å; angles 55.51, 55.51, 55.51 degrees
Fractional positions:
Li 0.0000 0.0000 0.0000
Li 0.4977 0.4977 0.4977
Mn 0.1938 0.1938 0.1938
Co 0.6923 0.6923 0.6923
Cl 0.0805 0.4241 0.7867
Cl 0.2950 0.9124 0.5928
Cl 0.4241 0.7867 0.0805
Cl 0.5928 0.2950 0.9124
Cl 0.7867 0.0805 0.4241
Cl 0.9124 0.5928 0.2950


Entry 18:
NaLiCoCl4: optimized geometry, PBE.

* raw formation energy: -1261 meV/atom
* E: -3.7928 eV per atom
* crystal system: tetragonal

Cell lengths 6.6254, 6.6254, 6.6254 Å; angles 123.35, 123.35, 84.28 degrees
Fractional positions:
Na 0.0000 0.0000 0.0000
Li 0.5000 0.5000 0.0000
Co 0.2500 0.7500 0.5000
Cl 0.1805 0.6369 0.0716
Cl 0.3631 0.4347 0.5436
Cl 0.5653 0.1089 0.9284
Cl 0.8911 0.8195 0.4564


Entry 19:
NaLiCo2Cl6: optimized geometry, PBE.

* raw formation energy: -1045 meV/atom
* E: -3.8971 eV per atom
* crystal system: monoclinic

Cell lengths 8.8683, 8.8683, 6.9350 Å; angles 103.93, 103.93, 86.48 degrees
Fractional positions:
Na 0.1095 0.8905 0.7500
Na 0.8905 0.1095 0.2500
Li 0.2189 0.7811 0.2500
Li 0.7811 0.2189 0.7500
Co 0.2237 0.3848 0.7768
Co 0.3848 0.2237 0.2768
Co 0.6152 0.7763 0.7232
Co 0.7763 0.6152 0.2232
Cl 0.0359 0.2008 0.6609
Cl 0.1386 0.6224 0.9104
Cl 0.2008 0.0359 0.1609
Cl 0.3047 0.4208 0.5025
Cl 0.3776 0.8614 0.5896
Cl 0.4208 0.3047 0.0025
Cl 0.5792 0.6953 0.9975
Cl 0.6224 0.1386 0.4104
Cl 0.6953 0.5792 0.4975
Cl 0.7992 0.9641 0.8391
Cl 0.8614 0.3776 0.0896
Cl 0.9641 0.7992 0.3391


Entry 20:
Na3Li3CoCl8: optimized geometry, PBE.

* raw formation energy: -1539 meV/atom
* E: -3.6445 eV per atom
* crystal system: trigonal

Cell lengths 7.7328, 7.7328, 7.7328 Å; angles 58.22, 58.22, 58.22 degrees
Fractional positions:
Na 0.0000 0.5000 0.5000
Na 0.5000 0.0000 0.5000
Na 0.5000 0.5000 0.0000
Li 0.0000 0.0000 0.5000
Li 0.0000 0.5000 0.0000
Li 0.5000 0.0000 0.0000
Co 0.5000 0.5000 0.5000
Cl 0.2426 0.2426 0.2426
Cl 0.2548 0.7296 0.7296
Cl 0.2704 0.2704 0.7452
Cl 0.2704 0.7452 0.2704
Cl 0.7296 0.2548 0.7296
Cl 0.7296 0.7296 0.2548
Cl 0.7452 0.2704 0.2704
Cl 0.7574 0.7574 0.7574


Entry 21:
LiCoP2Cl: optimized geometry, PBE.

* raw formation energy: -197 meV/atom
* E: -4.5341 eV per atom
* crystal system: tetragonal
* energy above the most stable polymorph in this dataset: 0 meV/atom

Cell lengths 4.0610, 4.0610, 8.9088 Å; angles 90.00, 90.00, 90.00 degrees
Fractional positions:
Li 0.0000 0.0000 0.0000
Co 0.5000 0.5000 0.5000
P 0.0000 0.5000 0.5000
P 0.5000 0.0000 0.5000
Cl 0.5000 0.5000 0.0000


Entry 22:
LiCoP2Cl: optimized geometry, PBE.

* raw formation energy: 980 meV/atom
* E: -3.3573 eV per atom
* crystal system: tetragonal
* energy above the most stable polymorph in this dataset: 1177 meV/atom

Cell lengths 4.2515, 4.2515, 4.5227 Å; angles 90.00, 90.00, 90.00 degrees
Fractional positions:
Li 0.0000 0.0000 0.0000
Co 0.5000 0.5000 0.5000
P 0.0000 0.5000 0.0000
P 0.5000 0.0000 0.0000
Cl 0.0000 0.0000 0.5000


Entry 23:
LiCoPCl2: optimized geometry, PBE.

* raw formation energy: 485 meV/atom
* E: -3.1400 eV per atom
* crystal system: tetragonal
* energy above the most stable polymorph in this dataset: 774 meV/atom

Cell lengths 4.4034, 4.4034, 5.0866 Å; angles 90.00, 90.00, 90.00 degrees
Fractional positions:
Li 0.0000 0.0000 0.0000
Co 0.5000 0.5000 0.5000
P 0.0000 0.0000 0.5000
Cl 0.0000 0.5000 0.0000
Cl 0.5000 0.0000 0.0000


Entry 24:
LiCoPCl2: optimized geometry, PBE.

* raw formation energy: -289 meV/atom
* E: -3.9136 eV per atom
* crystal system: tetragonal
* energy above the most stable polymorph in this dataset: 0 meV/atom

Cell lengths 4.9550, 4.9550, 4.1646 Å; angles 90.00, 90.00, 90.00 degrees
Fractional positions:
Li 0.0000 0.0000 0.0000
Co 0.5000 0.5000 0.5000
P 0.5000 0.5000 0.0000
Cl 0.0000 0.5000 0.5000
Cl 0.5000 0.0000 0.5000


Entry 25:
LiCo2PdCl: optimized geometry, PBE.

* raw formation energy: 1032 meV/atom
* E: -3.6011 eV per atom
* crystal system: tetragonal

Cell lengths 4.3301, 4.3301, 4.2331 Å; angles 90.00, 90.00, 90.00 degrees
Fractional positions:
Li 0.0000 0.0000 0.0000
Co 0.0000 0.5000 0.0000
Co 0.5000 0.0000 0.0000
Pd 0.0000 0.0000 0.5000
Cl 0.5000 0.5000 0.5000